Entry 1:
YBeGa after structural relaxation, computed with PBE.

Computed properties:
The formation energy from the elements comes out at -0.26 eV per atom. The distance to the lowest polymorph of the same formula is 0.171 eV per atom.

Cell lengths 3.979, 3.979, 7.043 Å; angles 90.00, 90.00, 90.00 degrees
Space group P4/nmm (No. 129, origin choice 2)
Symmetry-distinct sites (fractional):
Y (0.250, 0.250, 0.169) [2 per cell]
Be (0.250, 0.250, 0.710) [2 per cell]
Ga (0.250, 0.750, 0.500) [2 per cell]

***

Entry 2:
Y2BeGa after structural relaxation, computed with PBE.

Computed properties:
The formation energy from the elements comes out at -0.27 eV per atom. The distance to the lowest polymorph of the same formula is 0.000 eV per atom.

Cell lengths 3.490, 3.490, 7.032 Å; angles 90.00, 90.00, 90.00 degrees
Space group P4/mmm (No. 123)
Symmetry-distinct sites (fractional):
Y (0.000, 0.000, 0.235) [2 per cell]
Be (0.500, 0.500, 0.000) [1 per cell]
Ga (0.500, 0.500, 0.500) [1 per cell]

***

Entry 3:
Y3BeGa after structural relaxation, computed with PBE.

Computed properties:
The formation energy from the elements comes out at 0.14 eV per atom. The distance to the lowest polymorph of the same formula is 0.000 eV per atom.

Cell lengths 5.137, 5.137, 5.137 Å; angles 90.00, 90.00, 90.00 degrees
Space group Pm-3m (No. 221)
Symmetry-distinct sites (fractional):
Y (0.000, 0.000, 0.500) [3 per cell]
Be (0.000, 0.000, 0.000) [1 per cell]
Ga (0.500, 0.500, 0.500) [1 per cell]

***

Entry 4:
YBeGa after structural relaxation, computed with PBE.

Computed properties:
The formation energy from the elements comes out at -0.43 eV per atom. The distance to the lowest polymorph of the same formula is 0.000 eV per atom.

Cell lengths 4.1624, 4.1624, 7.3665 Å; angles 90.00, 90.00, 120.00 degrees
Space group P6_3/mmc (No. 194)
Symmetry-distinct sites (fractional):
Y (0.0000, 0.0000, 0.0000) [2 per cell]
Be (0.3333, 0.6667, 0.2500) [2 per cell]
Ga (0.3333, 0.6667, 0.7500) [2 per cell]

***

Entry 5:
Y2BeGa after structural relaxation, computed with PBE.

Computed properties:
The formation energy from the elements comes out at 0.17 eV per atom. The distance to the lowest polymorph of the same formula is 0.441 eV per atom.

Cell lengths 7.591, 7.591, 6.723 Å; angles 90.00, 90.00, 90.00 degrees
Space group I-42d (No. 122)
Symmetry-distinct sites (fractional):
Y (0.226, 0.250, 0.125) [8 per cell]
Be (0.000, 0.000, 0.000) [4 per cell]
Ga (0.000, 0.000, 0.500) [4 per cell]

***

Entry 6:
YBe3Ga after structural relaxation, computed with PBE.

Computed properties:
The formation energy from the elements comes out at 0.36 eV per atom. The distance to the lowest polymorph of the same formula is 0.000 eV per atom.

Cell lengths 4.252, 4.252, 4.252 Å; angles 90.00, 90.00, 90.00 degrees
Space group Pm-3m (No. 221)
Symmetry-distinct sites (fractional):
Y (0.000, 0.000, 0.000) [1 per cell]
Be (0.000, 0.500, 0.500) [3 per cell]
Ga (0.500, 0.500, 0.500) [1 per cell]

***

Question: Which formula does entry 4 have?
Answer: YBeGa